Entry 1:
{
  "formula": "Pr3Tm4In",
  "functional": "PBE-GGA",
  "state": "relaxed",
  "cell": [[-2.463, 2.489, 10.140], [2.463, -2.489, 10.140], [2.463, 2.489, -10.140]],
  "species": ["Pr", "Pr", "Pr", "Tm", "Tm", "Tm", "Tm", "In"],
  "frac_coords": [[0.000, 0.000, 0.000], [0.376, 0.876, 0.500], [0.624, 0.124, 0.500], [0.126, 0.626, 0.500], [0.248, 0.248, 0.000], [0.752, 0.752, 0.000], [0.874, 0.374, 0.500], [0.500, 0.500, 0.000]],
  "vol_a3_per_cell": 248.7,
  "delta_e_f_ev_per_atom": -0.099,
  "e_above_lowest_polymorph_ev_per_atom": 0.010,
  "n_ef_per_ev_cell": 11.49
}


Entry 2:
{
  "formula": "Pr3Tm3In2",
  "functional": "PBE-GGA",
  "state": "relaxed",
  "cell": [[4.876, 0.000, 0.000], [0.000, 4.888, 0.000], [0.000, 0.000, 9.929]],
  "species": ["Pr", "Pr", "Pr", "Tm", "Tm", "Tm", "In", "In"],
  "frac_coords": [[0.000, 0.000, 0.000], [0.000, 0.000, 0.500], [0.500, 0.500, 0.000], [0.500, 0.000, 0.254], [0.500, 0.000, 0.746], [0.500, 0.500, 0.500], [0.000, 0.500, 0.255], [0.000, 0.500, 0.745]],
  "vol_a3_per_cell": 236.7,
  "delta_e_f_ev_per_atom": -0.256,
  "e_above_lowest_polymorph_ev_per_atom": 0.000,
  "n_ef_per_ev_cell": 10.82
}


Entry 3:
{
  "formula": "Pr3TmIn",
  "functional": "PBE-GGA",
  "state": "relaxed",
  "cell": [[2.478, -12.847, 0.000], [2.478, 12.847, 0.000], [0.000, 0.000, 4.953]],
  "species": ["Pr", "Pr", "Pr", "Pr", "Pr", "Pr", "Tm", "Tm", "In", "In"],
  "frac_coords": [[0.054, 0.946, 0.750], [0.251, 0.749, 0.750], [0.443, 0.557, 0.750], [0.557, 0.443, 0.250], [0.749, 0.251, 0.250], [0.946, 0.054, 0.250], [0.348, 0.652, 0.250], [0.652, 0.348, 0.750], [0.154, 0.846, 0.250], [0.846, 0.154, 0.750]],
  "vol_a3_per_cell": 315.3,
  "delta_e_f_ev_per_atom": -0.184,
  "e_above_lowest_polymorph_ev_per_atom": 0.000,
  "n_ef_per_ev_cell": 11.65
}


Entry 4:
{
  "formula": "PrTmIn4",
  "functional": "PBE-GGA",
  "state": "relaxed",
  "cell": [[10.444, 0.000, 0.000], [0.000, 18.153, 0.000], [0.000, 0.000, 3.488]],
  "species": ["Pr", "Pr", "Pr", "Pr", "Tm", "Tm", "Tm", "Tm", "In", "In", "In", "In", "In", "In", "In", "In", "In", "In", "In", "In", "In", "In", "In", "In"],
  "frac_coords": [[0.083, 0.137, 0.000], [0.417, 0.637, 0.000], [0.583, 0.363, 0.000], [0.917, 0.863, 0.000], [0.117, 0.425, 0.000], [0.383, 0.925, 0.000], [0.617, 0.075, 0.000], [0.883, 0.575, 0.000], [0.008, 0.290, 0.500], [0.130, 0.969, 0.500], [0.152, 0.576, 0.500], [0.209, 0.807, 0.500], [0.291, 0.307, 0.500], [0.348, 0.076, 0.500], [0.370, 0.469, 0.500], [0.492, 0.790, 0.500], [0.508, 0.210, 0.500], [0.630, 0.531, 0.500], [0.652, 0.924, 0.500], [0.709, 0.693, 0.500], [0.791, 0.193, 0.500], [0.848, 0.424, 0.500], [0.870, 0.031, 0.500], [0.992, 0.710, 0.500]],
  "vol_a3_per_cell": 661.2,
  "delta_e_f_ev_per_atom": -0.313,
  "e_above_lowest_polymorph_ev_per_atom": 0.029,
  "n_ef_per_ev_cell": 15.79
}